Dy2Ga6Ni | GGA-PBE | optimized geometry

Properties
Fermi-level density of states ... 5.03 states/eV per cell
ΔE_f ... -0.4063 eV per atom
Crystal system ... orthorhombic
Volume ... 178.0 Å³/cell

POSCAR file:
```
Dy2Ga6Ni
1.0
3.7010 0.0000 0.0000
0.0000 2.0719 11.6046
0.0000 -2.0719 11.6046
Dy Ga Ni
2 6 1
Cartesian
0.0000 0.0000 0.0000 Dy
0.0000 0.0000 7.6566 Dy
0.0000 0.0000 14.3118 Ga
0.0000 0.0000 16.9526 Ga
1.8505 0.0000 2.5410 Ga
1.8505 0.0000 5.1008 Ga
1.8505 0.0000 10.2685 Ga
1.8505 0.0000 20.4284 Ga
1.8505 0.0000 12.6805 Ni
```